(1)
A geometry-optimized K3Ac2PaS6 structure. Source: the Alexandria database, functional PBE.

Energy relative to the elements, uncorrected   -1716.9 meV/atom
Symmetry   C2/m, No. 12

Geometry as POSCAR:
```
K3Ac2PaS6
1.0
3.7279 -6.4552 0.0000
3.7279 6.4552 0.0000
-2.4953 0.0000 7.4241
K Ac Pa S
3 2 1 6
direct
0.0000 0.0000 0.0000 K
0.3321 0.6679 0.0000 K
0.6679 0.3321 0.0000 K
0.1667 0.8333 0.5000 Ac
0.8333 0.1667 0.5000 Ac
0.5000 0.5000 0.5000 Pa
0.1169 0.4289 0.2878 S
0.2589 0.2589 0.7107 S
0.4289 0.1169 0.2878 S
0.5711 0.8831 0.7122 S
0.7411 0.7411 0.2893 S
0.8831 0.5711 0.7122 S
```

***

(2)
A geometry-optimized K2AcPaS4 structure. Source: the Alexandria database, functional PBE.

Energy relative to the elements, uncorrected   -1639.1 meV/atom
Symmetry   P2/m, No. 10

Geometry as POSCAR:
```
K2AcPaS4
1.0
7.3835 0.0000 0.0000
0.0000 4.1988 0.0000
-2.4136 0.0000 7.4579
K Ac Pa S
2 1 1 4
direct
0.0000 0.0000 0.0000 K
0.5000 0.5000 0.0000 K
0.0000 0.5000 0.5000 Ac
0.5000 0.0000 0.5000 Pa
0.2597 0.0000 0.7150 S
0.2819 0.5000 0.2937 S
0.7181 0.5000 0.7063 S
0.7403 0.0000 0.2850 S
```

***

(3)
A geometry-optimized K4AcPa3S12 structure. Source: the Alexandria database, functional PBE.

Energy relative to the elements, uncorrected   -1434.4 meV/atom
Symmetry   Im-3m, No. 229

Geometry as POSCAR:
```
K4AcPa3S12
1.0
-5.3903 5.3903 5.3903
5.3903 -5.3903 5.3903
5.3903 5.3903 -5.3903
K Ac Pa S
4 1 3 12
direct
0.0000 0.0000 0.5000 K
0.0000 0.5000 0.0000 K
0.5000 0.0000 0.0000 K
0.5000 0.5000 0.5000 K
0.0000 0.0000 0.0000 Ac
0.0000 0.5000 0.5000 Pa
0.5000 0.0000 0.5000 Pa
0.5000 0.5000 0.0000 Pa
0.0000 0.2653 0.2653 S
0.0000 0.7347 0.7347 S
0.2500 0.5000 0.7500 S
0.2500 0.7500 0.5000 S
0.2653 0.0000 0.2653 S
0.2653 0.2653 0.0000 S
0.5000 0.2500 0.7500 S
0.5000 0.7500 0.2500 S
0.7347 0.0000 0.7347 S
0.7347 0.7347 0.0000 S
0.7500 0.2500 0.5000 S
0.7500 0.5000 0.2500 S
```

***

(4)
A geometry-optimized KAc2PaSe5 structure. Source: the Alexandria database, functional PBE.

Energy relative to the elements, uncorrected   -1614.4 meV/atom
Symmetry   Immm, No. 71

Geometry as POSCAR:
```
KAc2PaSe5
1.0
-2.6866 3.8764 7.5637
2.6866 -3.8764 7.5637
2.6866 3.8764 -7.5637
K Ac Pa Se
1 2 1 5
direct
0.0000 0.0000 0.0000 K
0.2970 0.7970 0.5000 Ac
0.7030 0.2030 0.5000 Ac
0.5000 0.5000 0.0000 Pa
0.1163 0.3546 0.7618 Se
0.4072 0.6454 0.7618 Se
0.5000 0.0000 0.5000 Se
0.5928 0.3546 0.2382 Se
0.8837 0.6454 0.2382 Se
```

***

(5)
A geometry-optimized K3Ac2PaSe6 structure. Source: the Alexandria database, functional PBE.

Energy relative to the elements, uncorrected   -1614.5 meV/atom
Symmetry   C2/m, No. 12

Geometry as POSCAR:
```
K3Ac2PaSe6
1.0
3.8659 -6.6936 0.0000
3.8659 6.6936 0.0000
-2.5870 0.0000 7.7323
K Ac Pa Se
3 2 1 6
direct
0.0000 0.0000 0.0000 K
0.3311 0.6689 0.0000 K
0.6689 0.3311 0.0000 K
0.1665 0.8335 0.5000 Ac
0.8335 0.1665 0.5000 Ac
0.5000 0.5000 0.5000 Pa
0.1130 0.4278 0.2838 Se
0.2578 0.2578 0.7155 Se
0.4278 0.1130 0.2838 Se
0.5722 0.8870 0.7162 Se
0.7422 0.7422 0.2845 Se
0.8870 0.5722 0.7162 Se
```

***

(6)
A geometry-optimized K4Ac3PaSe8 structure. Source: the Alexandria database, functional PBE.

Energy relative to the elements, uncorrected   -1661.9 meV/atom
Symmetry   R-3m, No. 166

Geometry as POSCAR:
```
K4Ac3PaSe8
1.0
4.4970 2.5964 7.7336
-4.4970 2.5964 7.7336
0.0000 -5.1927 7.7336
K Ac Pa Se
4 3 1 8
direct
0.0000 0.0000 0.0000 K
0.0000 0.5000 0.5000 K
0.5000 0.0000 0.5000 K
0.5000 0.5000 0.0000 K
0.0000 0.0000 0.5000 Ac
0.0000 0.5000 0.0000 Ac
0.5000 0.0000 0.0000 Ac
0.5000 0.5000 0.5000 Pa
0.2412 0.2412 0.2412 Se
0.2554 0.7292 0.7292 Se
0.2708 0.2708 0.7446 Se
0.2708 0.7446 0.2708 Se
0.7292 0.2554 0.7292 Se
0.7292 0.7292 0.2554 Se
0.7446 0.2708 0.2708 Se
0.7588 0.7588 0.7588 Se
```

***

(7)
A geometry-optimized K4Ac3PaTe8 structure. Source: the Alexandria database, functional PBE.

Energy relative to the elements, uncorrected   -1328.0 meV/atom
Symmetry   R-3m, No. 166

Geometry as POSCAR:
```
K4Ac3PaTe8
1.0
4.7644 2.7507 8.2849
-4.7644 2.7507 8.2849
0.0000 -5.5014 8.2849
K Ac Pa Te
4 3 1 8
direct
0.0000 0.0000 0.0000 K
0.0000 0.5000 0.5000 K
0.5000 0.0000 0.5000 K
0.5000 0.5000 0.0000 K
0.0000 0.0000 0.5000 Ac
0.0000 0.5000 0.0000 Ac
0.5000 0.0000 0.0000 Ac
0.5000 0.5000 0.5000 Pa
0.2425 0.2425 0.2425 Te
0.2548 0.7319 0.7319 Te
0.2681 0.2681 0.7452 Te
0.2681 0.7452 0.2681 Te
0.7319 0.2548 0.7319 Te
0.7319 0.7319 0.2548 Te
0.7452 0.2681 0.2681 Te
0.7575 0.7575 0.7575 Te
```

***

(8)
A geometry-optimized K3Ac2PaTe6 structure. Source: the Alexandria database, functional PBE.

Energy relative to the elements, uncorrected   -1274.8 meV/atom
Symmetry   C2/m, No. 12

Geometry as POSCAR:
```
K3Ac2PaTe6
1.0
4.0971 -7.0970 0.0000
4.0971 7.0970 0.0000
-2.7403 0.0000 8.2890
K Ac Pa Te
3 2 1 6
direct
0.0000 0.0000 0.0000 K
0.3297 0.6703 0.0000 K
0.6703 0.3297 0.0000 K
0.1662 0.8338 0.5000 Ac
0.8338 0.1662 0.5000 Ac
0.5000 0.5000 0.5000 Pa
0.1093 0.4266 0.2795 Te
0.2573 0.2573 0.7209 Te
0.4266 0.1093 0.2795 Te
0.5734 0.8907 0.7205 Te
0.7427 0.7427 0.2791 Te
0.8907 0.5734 0.7205 Te
```

***

(9)
A geometry-optimized KAcPb structure. Source: the Alexandria database, functional PBE.

Offset from the most stable computed form   0.1761 eV per atom
Symmetry   P3m1, No. 156

Geometry as POSCAR:
```
KAcPb
1.0
5.8020 0.0000 0.0000
-2.9010 5.0247 0.0000
0.0000 0.0000 4.0427
K Ac Pb
1 1 1
direct
0.0000 0.0000 0.0000 K
0.6667 0.3333 0.4196 Ac
0.3333 0.6667 0.6621 Pb
```

***

(10)
A geometry-optimized KAc2Pb3 structure. Source: the Alexandria database, functional PBE.

Symmetry   P4/mmm, No. 123
E_tot   -3.77 eV/atom

Geometry as POSCAR:
```
KAc2Pb3
1.0
3.8056 0.0000 0.0000
0.0000 3.8056 0.0000
0.0000 0.0000 15.0207
K Ac Pb
1 2 3
direct
0.0000 0.0000 0.0000 K
0.0000 0.0000 0.3366 Ac
0.0000 0.0000 0.6634 Ac
0.5000 0.5000 0.1776 Pb
0.5000 0.5000 0.5000 Pb
0.5000 0.5000 0.8224 Pb
```

***

(11)
A geometry-optimized KAcPb structure. Source: the Alexandria database, functional PBE.

Offset from the most stable computed form   0.0000 eV per atom
Symmetry   Pnma, No. 62

Geometry as POSCAR:
```
KAcPb
1.0
9.2591 0.0000 0.0000
0.0000 5.6468 0.0000
0.0000 0.0000 9.9812
K Ac Pb
4 4 4
direct
0.0166 0.2500 0.1719 K
0.4834 0.7500 0.6719 K
0.5166 0.2500 0.3281 K
0.9834 0.7500 0.8281 K
0.1546 0.2500 0.5829 Ac
0.3454 0.7500 0.0829 Ac
0.6546 0.2500 0.9171 Ac
0.8454 0.7500 0.4171 Ac
0.2128 0.7500 0.3977 Pb
0.2872 0.2500 0.8977 Pb
0.7128 0.7500 0.1023 Pb
0.7872 0.2500 0.6023 Pb
```

***

(12)
A geometry-optimized K2AcPb structure. Source: the Alexandria database, functional PBE.

Symmetry   R-3m, No. 166
E_tot   -2.30 eV/atom

Geometry as POSCAR:
```
K2AcPb
1.0
1.9281 1.1132 13.9394
-1.9281 1.1132 13.9394
0.0000 -2.2264 13.9394
K Ac Pb
2 1 1
direct
0.0944 0.0944 0.0944 K
0.9056 0.9056 0.9056 K
0.0000 0.0000 0.0000 Ac
0.5000 0.5000 0.5000 Pb
```

***

(13)
A geometry-optimized KAcPb structure. Source: the Alexandria database, functional PBE.

Offset from the most stable computed form   0.1272 eV per atom
Symmetry   F-43m, No. 216

Geometry as POSCAR:
```
KAcPb
1.0
0.0000 4.0803 4.0803
4.0803 0.0000 4.0803
4.0803 4.0803 0.0000
K Ac Pb
1 1 1
direct
0.0000 0.0000 0.0000 K
0.5000 0.5000 0.5000 Ac
0.2500 0.2500 0.2500 Pb
```

***

(14)
A geometry-optimized KAcPb2 structure. Source: the Alexandria database, functional PBE.

Symmetry   P4/mmm, No. 123
E_tot   -3.44 eV/atom

Geometry as POSCAR:
```
KAcPb2
1.0
5.3135 0.0000 0.0000
0.0000 5.3135 0.0000
0.0000 0.0000 4.9427
K Ac Pb
1 1 2
direct
0.0000 0.0000 0.0000 K
0.5000 0.5000 0.0000 Ac
0.0000 0.5000 0.5000 Pb
0.5000 0.0000 0.5000 Pb
```

***

(15)
A geometry-optimized KAcPb2 structure. Source: the Alexandria database, functional PBE.

Symmetry   R-3m, No. 166
E_tot   -3.30 eV/atom

Geometry as POSCAR:
```
KAcPb2
1.0
1.9344 1.1168 11.5914
-1.9344 1.1168 11.5914
0.0000 -2.2337 11.5914
K Ac Pb
1 1 2
direct
0.0000 0.0000 0.0000 K
0.5000 0.5000 0.5000 Ac
0.2482 0.2482 0.2482 Pb
0.7518 0.7518 0.7518 Pb
```

***

(16)
A geometry-optimized KAcPb2 structure. Source: the Alexandria database, functional PBE.

Symmetry   P4/mmm, No. 123
E_tot   -3.45 eV/atom

Geometry as POSCAR:
```
KAcPb2
1.0
4.4473 0.0000 0.0000
0.0000 4.4473 0.0000
0.0000 0.0000 8.0476
K Ac Pb
1 1 2
direct
0.0000 0.0000 0.0000 K
0.0000 0.0000 0.5000 Ac
0.5000 0.5000 0.2967 Pb
0.5000 0.5000 0.7033 Pb
```

***

(17)
A geometry-optimized KAc4Pb5 structure. Source: the Alexandria database, functional PBE.

Symmetry   P4/mmm, No. 123
E_tot   -4.02 eV/atom

Geometry as POSCAR:
```
KAc4Pb5
1.0
3.8357 0.0000 0.0000
0.0000 3.8357 0.0000
0.0000 0.0000 24.4963
K Ac Pb
1 4 5
direct
0.0000 0.0000 0.0000 K
0.0000 0.0000 0.2060 Ac
0.0000 0.0000 0.4037 Ac
0.0000 0.0000 0.5963 Ac
0.0000 0.0000 0.7940 Ac
0.5000 0.5000 0.1091 Pb
0.5000 0.5000 0.3053 Pb
0.5000 0.5000 0.5000 Pb
0.5000 0.5000 0.6947 Pb
0.5000 0.5000 0.8909 Pb
```

***

(18)
A geometry-optimized KAcPb structure. Source: the Alexandria database, functional PBE.

Offset from the most stable computed form   0.1576 eV per atom
Symmetry   I4mm, No. 107

Geometry as POSCAR:
```
KAcPb
1.0
-1.9693 1.9693 8.4575
1.9693 -1.9693 8.4575
1.9693 1.9693 -8.4575
K Ac Pb
1 1 1
direct
0.0000 0.0000 0.0000 K
0.2735 0.2735 0.0000 Ac
0.6472 0.6472 0.0000 Pb
```

***

(19)
A geometry-optimized KAc2PbS4 structure. Source: the Alexandria database, functional PBE.

Energy relative to the elements, uncorrected   -1529.6 meV/atom
Symmetry   C2/c, No. 15

Geometry as POSCAR:
```
KAc2PbS4
1.0
6.1144 -6.0854 0.0000
6.1144 6.0854 0.0000
-5.8171 0.0000 6.7090
K Ac Pb S
2 4 2 8
direct
0.0000 0.5000 0.0000 K
0.5000 0.0000 0.5000 K
0.0000 0.0000 0.0000 Ac
0.0000 0.0000 0.5000 Ac
0.0000 0.5000 0.5000 Ac
0.5000 0.0000 0.0000 Ac
0.5000 0.5000 0.0000 Pb
0.5000 0.5000 0.5000 Pb
0.2050 0.2212 0.4375 S
0.2212 0.2050 0.9375 S
0.2366 0.7406 0.9621 S
0.2594 0.7634 0.5379 S
0.7406 0.2366 0.4621 S
0.7634 0.2594 0.0379 S
0.7788 0.7950 0.0625 S
0.7950 0.7788 0.5625 S
```

***

(20)
A geometry-optimized KAcPb2S4 structure. Source: the Alexandria database, functional PBE.

Energy relative to the elements, uncorrected   -1167.2 meV/atom
Symmetry   P2/m, No. 10

Geometry as POSCAR:
```
KAcPb2S4
1.0
7.4479 0.0000 0.0000
0.0000 4.3415 0.0000
-2.3912 0.0000 7.0866
K Ac Pb S
1 1 2 4
direct
0.0000 0.0000 0.0000 K
0.5000 0.5000 0.0000 Ac
0.0000 0.5000 0.5000 Pb
0.5000 0.0000 0.5000 Pb
0.2614 0.0000 0.7524 S
0.2675 0.5000 0.2578 S
0.7325 0.5000 0.7422 S
0.7386 0.0000 0.2476 S
```

***

(21)
A geometry-optimized K2AcPb2S4 structure. Source: the Alexandria database, functional PBE.

Energy relative to the elements, uncorrected   -1141.6 meV/atom
Symmetry   C2/m, No. 12

Geometry as POSCAR:
```
K2AcPb2S4
1.0
7.1570 -2.2897 0.0000
7.1570 2.2897 0.0000
-4.3377 0.0000 8.9207
K Ac Pb S
2 1 2 4
direct
0.2028 0.2028 0.2793 K
0.7972 0.7972 0.7207 K
0.0000 0.0000 0.5000 Ac
0.4096 0.4096 0.1148 Pb
0.5904 0.5904 0.8852 Pb
0.1696 0.1696 0.8108 S
0.4111 0.4111 0.6062 S
0.5889 0.5889 0.3938 S
0.8304 0.8304 0.1892 S
```

***

(22)
A geometry-optimized KAcSbPb structure. Source: the Alexandria database, functional PBE.

Energy relative to the elements, uncorrected   -361.1 meV/atom
Symmetry   F-43m, No. 216

Geometry as POSCAR:
```
KAcSbPb
1.0
0.0000 4.1299 4.1299
4.1299 0.0000 4.1299
4.1299 4.1299 0.0000
K Ac Sb Pb
1 1 1 1
direct
0.0000 0.0000 0.0000 K
0.5000 0.5000 0.5000 Ac
0.2500 0.2500 0.2500 Sb
0.7500 0.7500 0.7500 Pb
```

***

(23)
A geometry-optimized KAcPbSe3 structure. Source: the Alexandria database, functional PBE.

Energy relative to the elements, uncorrected   -1302.8 meV/atom
Symmetry   P2_1/m, No. 11

Geometry as POSCAR:
```
KAcPbSe3
1.0
9.3202 0.0000 0.0000
0.0000 4.4490 0.0000
-0.8797 0.0000 11.1738
K Ac Pb Se
2 2 2 6
direct
0.1388 0.2500 0.1505 K
0.8612 0.7500 0.8495 K
0.3776 0.7500 0.8435 Ac
0.6224 0.2500 0.1565 Ac
0.1426 0.2500 0.5810 Pb
0.8574 0.7500 0.4190 Pb
0.1347 0.2500 0.8346 Se
0.3320 0.7500 0.5663 Se
0.3944 0.7500 0.1246 Se
0.6056 0.2500 0.8754 Se
0.6680 0.2500 0.4337 Se
0.8653 0.7500 0.1654 Se
```